1.
First-principles (PBE-GGA) data for an optimized crystal structure of PrEr2S4, as listed in the Alexandria database.

It has space group Pnma (No. 62), with a = 11.8273 Å, b = 3.8697 Å, c = 14.1857 Å, α = 90.00°, β = 90.00° and γ = 90.00°. Symmetry generates all atoms from Pr at (0.2415, 0.2500, 0.1679), Er at (0.0636, 0.2500, 0.3896), Er at (0.0886, 0.2500, 0.9041), S at (0.0310, 0.7500, 0.7834), S at (0.0948, 0.2500, 0.5781), S at (0.1307, 0.7500, 0.0346) and S at (0.2028, 0.7500, 0.3218).

The value obtained for the total energy is -6.403 eV per atom. The formation energy (no corrections) comes out at -2.06 eV per atom.

2.
First-principles (PBE-GGA) data for an optimized crystal structure of PrEr2S4, as listed in the Alexandria database.

It has space group Cmcm (No. 63), with a = 3.8617 Å, b = 12.8909 Å, c = 13.1820 Å, α = 90.00°, β = 90.00° and γ = 90.00°. Symmetry generates all atoms from Pr at (0.0000, 0.1234, 0.2500), Er at (0.0000, 0.3698, 0.0676), S at (0.0000, 0.0000, 0.0000), S at (0.0000, 0.2720, 0.6178) and S at (0.0000, 0.4585, 0.2500).

The value obtained for the total energy is -6.415 eV per atom. The formation energy (no corrections) comes out at -2.07 eV per atom.

Number 1: magnetic moment 0.00 μB per atom, relative energy among the computed polymorphs 11 meV per atom. Number 2: magnetic moment 0.00 μB per atom, relative energy among the computed polymorphs 0 meV per atom.